# 1
The following is a GGA-PBE calculation of a relaxed structure of CrReAu2, from the Alexandria database.

It has space group P4mm (No. 99), with a = 2.911 Å, b = 2.911 Å, c = 7.589 Å, α = 90.00°, β = 90.00° and γ = 90.00°. The inequivalent atoms are Cr at (0.000, 0.000, 0.000), Re at (0.500, 0.500, 0.178), Au at (0.000, 0.000, 0.459) and Au at (0.500, 0.500, 0.741).

The energy of formation is 0.27 eV per atom.

# 2
The following is a GGA-PBE calculation of a relaxed structure of NbHS2Cl, from the Alexandria database.

It has space group P4/mmm (No. 123), with a = 4.766 Å, b = 4.766 Å, c = 5.019 Å, α = 90.00°, β = 90.00° and γ = 90.00°. The inequivalent atoms are Nb at (0.000, 0.000, 0.000), H at (0.500, 0.500, 0.500), S at (0.000, 0.500, 0.000) and Cl at (0.000, 0.000, 0.500).

The value obtained for the total energy is -23.87 eV for the cell shown.

# 3
The following is a GGA-PBE calculation of a relaxed structure of Hf4ZnO, from the Alexandria database.

It has space group C2/c (No. 15), with a = 7.179 Å, b = 12.883 Å, c = 5.585 Å, α = 90.00°, β = 122.43° and γ = 90.00°. The inequivalent atoms are Hf at (0.148, 0.210, 0.155), Hf at (0.232, 0.056, 0.707), Zn at (0.000, 0.391, 0.750) and O at (0.000, 0.059, 0.250).

The calculation puts the formation energy from raw total energies at -750 meV per atom.